Below is Na3PaCl8 after structural relaxation, with properties calculated at the PBE level.

Magnetization (μB per formula unit): 0.000
Energy relative to the elements, uncorrected (eV/atom): -1.74
Space-group type: No. 221

The structure in CIF format:
```
data_Na3PaCl8
_chemical_formula_sum 'Na3 Pa1 Cl8'
_space_group_name_H-M_alt 'P 1'
_space_group_IT_number 1
_space_group_name_Hall 'P 1'
_cell_length_a 6.759
_cell_length_b 6.759
_cell_length_c 6.759
_cell_angle_alpha 90.00
_cell_angle_beta 90.00
_cell_angle_gamma 90.00
loop_
_atom_site_label
_atom_site_fract_x
_atom_site_fract_y
_atom_site_fract_z
_atom_site_occupancy
Cl1 0.766 0.234 0.234 1
Na1 0.500 0.000 0.500 1
Cl2 0.234 0.766 0.766 1
Cl3 0.234 0.766 0.234 1
Cl4 0.766 0.234 0.766 1
Na2 0.500 0.500 0.000 1
Cl5 0.234 0.234 0.766 1
Na3 0.000 0.500 0.500 1
Pa1 0.000 0.000 0.000 1
Cl6 0.234 0.234 0.234 1
Cl7 0.766 0.766 0.234 1
Cl8 0.766 0.766 0.766 1
```

---

Below is NaPaCl2 after structural relaxation, with properties calculated at the PBE level.

Magnetization (μB per formula unit): 0.000
Energy relative to the elements, uncorrected (eV/atom): -1.15
Space-group type: No. 166

The structure in CIF format:
```
data_NaPaCl2
_chemical_formula_sum 'Na1 Pa1 Cl2'
_space_group_name_H-M_alt 'P 1'
_space_group_IT_number 1
_space_group_name_Hall 'P 1'
_cell_length_a 3.467
_cell_length_b 3.467
_cell_length_c 10.460
_cell_angle_alpha 80.46
_cell_angle_beta 80.46
_cell_angle_gamma 60.00
loop_
_atom_site_label
_atom_site_fract_x
_atom_site_fract_y
_atom_site_fract_z
_atom_site_occupancy
Na1 0.000 0.000 0.000 1
Cl1 0.899 0.899 0.304 1
Pa1 0.500 0.500 0.500 1
Cl2 0.101 0.101 0.696 1
```

---

Below is Na6PaCl12 after structural relaxation, with properties calculated at the PBE level.

Magnetization (μB per formula unit): 1.278
Energy relative to the elements, uncorrected (eV/atom): -1.65
Space-group type: No. 148

The structure in CIF format:
```
data_Na6PaCl12
_chemical_formula_sum 'Na6 Pa1 Cl12'
_space_group_name_H-M_alt 'P 1'
_space_group_IT_number 1
_space_group_name_Hall 'P 1'
_cell_length_a 8.292
_cell_length_b 8.292
_cell_length_c 8.292
_cell_angle_alpha 97.71
_cell_angle_beta 97.71
_cell_angle_gamma 97.71
loop_
_atom_site_label
_atom_site_fract_x
_atom_site_fract_y
_atom_site_fract_z
_atom_site_occupancy
Cl1 0.301 0.088 0.971 1
Cl2 0.912 0.029 0.699 1
Na1 0.840 0.387 0.639 1
Cl3 0.399 0.828 0.590 1
Na2 0.361 0.160 0.613 1
Na3 0.613 0.361 0.160 1
Cl4 0.088 0.971 0.301 1
Na4 0.160 0.613 0.361 1
Na5 0.639 0.840 0.387 1
Pa1 0.000 0.000 0.000 1
Cl5 0.172 0.410 0.601 1
Cl6 0.601 0.172 0.410 1
Cl7 0.828 0.590 0.399 1
Cl8 0.699 0.912 0.029 1
Cl9 0.029 0.699 0.912 1
Cl10 0.410 0.601 0.172 1
Na6 0.387 0.639 0.840 1
Cl11 0.971 0.301 0.088 1
Cl12 0.590 0.399 0.828 1
```

---

Below is NaPaCl14 after structural relaxation, with properties calculated at the PBE level.

Magnetization (μB per formula unit): 0.000
Energy relative to the elements, uncorrected (eV/atom): -0.87
Space-group type: No. 1

The structure in CIF format:
```
data_NaPaCl14
_chemical_formula_sum 'Na1 Pa1 Cl14'
_space_group_name_H-M_alt 'P 1'
_space_group_IT_number 1
_space_group_name_Hall 'P 1'
_cell_length_a 7.069
_cell_length_b 8.805
_cell_length_c 12.769
_cell_angle_alpha 109.22
_cell_angle_beta 77.28
_cell_angle_gamma 128.64
loop_
_atom_site_label
_atom_site_fract_x
_atom_site_fract_y
_atom_site_fract_z
_atom_site_occupancy
Cl1 0.175 0.762 0.744 1
Cl2 0.221 0.263 0.900 1
Cl3 0.689 0.839 0.009 1
Cl4 0.302 0.090 0.444 1
Cl5 0.407 0.090 0.078 1
Cl6 0.809 0.608 0.728 1
Na1 0.508 0.486 0.106 1
Cl7 0.643 0.987 0.786 1
Cl8 0.846 0.778 0.269 1
Cl9 0.362 0.874 0.427 1
Cl10 0.189 0.310 0.445 1
Pa1 0.809 0.167 0.988 1
Cl11 0.016 0.355 0.175 1
Cl12 0.905 0.489 0.969 1
Cl13 0.585 0.347 0.575 1
Cl14 0.533 0.555 0.356 1
```

---

Below is NaPaCl4 after structural relaxation, with properties calculated at the PBE level.

Magnetization (μB per formula unit): 2.004
Energy above the most stable polymorph in this dataset (eV per formula unit): 0.00
Energy relative to the elements, uncorrected (eV/atom): -1.73
Space-group type: No. 12

The structure in CIF format:
```
data_NaPaCl4
_chemical_formula_sum 'Na1 Pa1 Cl4'
_space_group_name_H-M_alt 'P 1'
_space_group_IT_number 1
_space_group_name_Hall 'P 1'
_cell_length_a 3.776
_cell_length_b 7.717
_cell_length_c 7.500
_cell_angle_alpha 115.66
_cell_angle_beta 90.00
_cell_angle_gamma 104.16
loop_
_atom_site_label
_atom_site_fract_x
_atom_site_fract_y
_atom_site_fract_z
_atom_site_occupancy
Na1 0.500 0.000 0.500 1
Cl1 0.894 0.789 0.212 1
Cl2 0.377 0.754 0.727 1
Pa1 0.000 0.000 0.000 1
Cl3 0.623 0.246 0.273 1
Cl4 0.106 0.211 0.788 1
```

---

Below is NaPaCl4 after structural relaxation, with properties calculated at the PBE level.

Magnetization (μB per formula unit): 2.001
Energy above the most stable polymorph in this dataset (eV per formula unit): 0.03
Energy relative to the elements, uncorrected (eV/atom): -1.72
Space-group type: No. 15

The structure in CIF format:
```
data_NaPaCl4
_chemical_formula_sum 'Na2 Pa2 Cl8'
_space_group_name_H-M_alt 'P 1'
_space_group_IT_number 1
_space_group_name_Hall 'P 1'
_cell_length_a 6.455
_cell_length_b 7.229
_cell_length_c 8.857
_cell_angle_alpha 111.67
_cell_angle_beta 108.72
_cell_angle_gamma 96.12
loop_
_atom_site_label
_atom_site_fract_x
_atom_site_fract_y
_atom_site_fract_z
_atom_site_occupancy
Cl1 0.293 0.980 0.617 1
Cl2 0.487 0.690 0.890 1
Na1 0.565 0.315 0.630 1
Cl3 0.707 0.020 0.383 1
Cl4 0.903 0.199 0.890 1
Cl5 0.097 0.801 0.110 1
Na2 0.435 0.685 0.370 1
Cl6 0.176 0.363 0.383 1
Cl7 0.513 0.310 0.110 1
Cl8 0.824 0.637 0.617 1
Pa1 0.812 0.062 0.124 1
Pa2 0.188 0.938 0.876 1
```

---

- Which of these has the highest magnetization?
  number 5

---

- Look up the energy relative to the elements, uncorrected of the fifth one.
  -1.73 eV/atom